No. 1
Here is a geometry-optimized CeAgAu2 structure from Alexandria. Energies are from PBE.

Unit cell a=4.985 b=4.985 c=4.985 alpha=60.00 beta=60.00 gamma=60.00
Each line ends with the local moment (μB).
Element x y z (fractional)
Au 0.250 0.250 0.250  0.00
Au 0.750 0.750 0.750  0.00
Ag 0.500 0.500 0.500  0.00
Ce 0.000 0.000 0.000  0.69

ΔH_f (0 K): -0.495 eV per atom
D(E_F): 6.9 states/eV per cell
Distance to the lowest polymorph of the same formula: 0 meV/atom

***

No. 2
Here is a geometry-optimized Ag2OsPt structure from Alexandria. Energies are from PBE.

Unit cell a=4.533 b=4.533 c=4.533 alpha=60.00 beta=60.00 gamma=60.00
Each line ends with the local moment (μB).
Element x y z (fractional)
Os 0.000 0.000 0.000  1.84
Ag 0.750 0.750 0.750  0.10
Ag 0.250 0.250 0.250  0.10
Pt 0.500 0.500 0.500  0.29

ΔH_f (0 K): 0.800 eV per atom
D(E_F): 1.6 states/eV per cell
Distance to the lowest polymorph of the same formula: 546 meV/atom

***

No. 3
Here is a geometry-optimized Ho2SiRh structure from Alexandria. Energies are from PBE.

Unit cell a=3.696 b=4.710 c=4.710 alpha=90.00 beta=90.00 gamma=90.00
Element x y z (fractional)
Ho 0.000 0.000 0.500
Ho 0.000 0.500 0.000
Rh 0.500 0.500 0.500
Si 0.500 0.000 0.000

D(E_F): 2.0 states/eV per cell
Energy: -24.8 eV/cell

***

> What is the D(E_F) in the first record?

6.9 states/eV per cell